ScCu2Ni SCAN single point on PBEsol structure; raw total energy = -15.45 eV/atom; crystal system = tetragonal; SG = No. 119; D(E_F) = 0.3588 states/eV per atom; density = 7.4 g/cm3
1.0
-1.8567 1.8567 3.7697
1.8567 -1.8567 3.7697
1.8567 1.8567 -3.7697
Sc Cu Ni
1 2 1
Direct
0.0000 0.0000 0.0000 Sc
0.2500 0.7500 0.5000 Cu
0.5000 0.5000 0.0000 Cu
0.7500 0.2500 0.5000 Ni